PtSe2Br: relaxed, PBE-GGA.

For the final energy, the calculation gives -3.918 eV per atom. Its uncorrected formation energy is -247 meV per atom. The volume comes out at 22.7 Å³/atom.

The space group is R-3m (No. 166, hexagonal axes) and the conventional cell measures 3.8346, 3.8346 and 21.3645 Å, with angles of 90.00, 90.00 and 120.00 degrees. Symmetry generates all atoms from Pt at (0.0000, 0.0000, 0.0000), Se at (0.0000, 0.0000, 0.2747) and Br at (0.0000, 0.0000, 0.5000).



Pt3SeBr: relaxed, PBE-GGA.

For the final energy, the calculation gives -3.865 eV per atom. Its uncorrected formation energy is 791 meV per atom. The volume comes out at 22.0 Å³/atom.

The space group is Pm-3m (No. 221) and the conventional cell measures 4.788, 4.788 and 4.788 Å, with angles of 90.00, 90.00 and 90.00 degrees. Symmetry generates all atoms from Pt at (0.000, 0.000, 0.500), Se at (0.000, 0.000, 0.000) and Br at (0.500, 0.500, 0.500).



PtSe3Br: relaxed, PBE-GGA.

For the final energy, the calculation gives -3.114 eV per atom. Its uncorrected formation energy is 520 meV per atom. The volume comes out at 25.2 Å³/atom.

The space group is Pm-3m (No. 221) and the conventional cell measures 5.011, 5.011 and 5.011 Å, with angles of 90.00, 90.00 and 90.00 degrees. Symmetry generates all atoms from Pt at (0.000, 0.000, 0.000), Se at (0.000, 0.000, 0.500) and Br at (0.500, 0.500, 0.500).



PtSe2Br: relaxed, PBE-GGA.

For the final energy, the calculation gives -3.008 eV per atom. Its uncorrected formation energy is 663 meV per atom. The volume comes out at 19.4 Å³/atom.

The space group is Fm-3m (No. 225) and the conventional cell measures 6.774, 6.774 and 6.774 Å, with angles of 90.00, 90.00 and 90.00 degrees. Symmetry generates all atoms from Pt at (0.000, 0.000, 0.000), Se at (0.250, 0.250, 0.250) and Br at (0.000, 0.000, 0.500).



Ordered distance to the lowest polymorph of the same formula results: 36, 0, 0, 946; unit meV per atom.